First-principles (PBE-GGA) data for a geometry-optimized RbPtAu structure, as listed in Alexandria via LeMat-Bulk.

As for the formation energy: -0.1825 eV per atom. Its density of states at the Fermi level is 0.470 states/eV/f.u. The crystal system is triclinic. Its calculated total energy is -21.67 eV/cell.

abc: 4.581 6.671 6.766
angles: 65.79 70.32 89.92
Space group P-1 (No. 2)
Unique sites:
Rb (0.113, 0.299, 0.274) [2 per cell]
Pt (0.212, 0.911, 0.077) [2 per cell]
Au (0.402, 0.306, 0.693) [2 per cell]

First-principles (PBE-GGA) data for a geometry-optimized Rb2Pt2Au structure, as listed in Alexandria via LeMat-Bulk.

As for the formation energy: 0.2320 eV per atom. Its density of states at the Fermi level is 6.621 states/eV/f.u. The crystal system is tetragonal. Its calculated total energy is -32.27 eV/cell.

abc: 6.637 6.637 7.618
angles: 90.00 90.00 90.00
Space group I4/mmm (No. 139)
Unique sites:
Rb (0.000, 0.500, 0.250) [4 per cell]
Pt (0.000, 0.000, 0.162) [4 per cell]
Au (0.000, 0.000, 0.500) [2 per cell]

First-principles (PBE-GGA) data for a geometry-optimized RbPt2Au2 structure, as listed in Alexandria via LeMat-Bulk.

As for the formation energy: 0.1445 eV per atom. Its density of states at the Fermi level is 3.398 states/eV/f.u. The crystal system is tetragonal. Its calculated total energy is -37.76 eV/cell.

abc: 4.766 4.766 10.366
angles: 90.00 90.00 90.00
Space group I4/mmm (No. 139)
Unique sites:
Rb (0.000, 0.000, 0.000) [2 per cell]
Pt (0.000, 0.000, 0.378) [4 per cell]
Au (0.000, 0.500, 0.250) [4 per cell]